No. 1
A relaxed structure of NdSm3Er4. Source: the Alexandria database, functional PBE.

Cell and atoms, written as POSCAR:
```
NdSm3Er4
1.0
6.281 0.000 0.000
0.000 7.290 0.000
0.000 0.000 11.418
Er Sm Nd
8 6 2
Cartesian
0.930 6.406 5.709 Er
0.931 6.406 0.000 Er
3.021 6.405 8.570 Er
6.162 0.884 2.861 Er
6.162 0.884 8.557 Er
4.072 0.883 5.709 Er
3.021 6.405 2.848 Er
4.070 0.884 0.000 Er
3.028 2.710 8.564 Sm
6.169 4.580 8.563 Sm
6.169 4.580 2.855 Sm
0.920 2.711 5.709 Sm
4.060 4.578 0.000 Sm
3.028 2.710 2.854 Sm
0.921 2.716 0.000 Nd
4.062 4.573 5.709 Nd
```

Computed properties:
Its space-group type is Pmn2_1. The calculation puts the energy above the most stable polymorph in this dataset at 3 kJ/mol of formula units. The calculation puts the density of states at the Fermi level at 1.82 states/eV/atom. Its formation energy is 0.18 eV/f.u. The total magnetization comes out at 0.00 Bohr magnetons per cell. The calculation puts the volume at 523 Å³ per cell.


No. 2
A relaxed structure of IrPd3Pt. Source: the Alexandria database, functional PBE.

Cell and atoms, written as POSCAR:
```
IrPd3Pt
1.0
-3.086 3.566 -0.614
0.571 -0.317 -4.710
-3.573 -3.130 -0.223
Pd Ir Pt
3 1 1
Cartesian
0.286 -0.159 -2.355 Pd
-1.543 1.783 -0.307 Pd
-1.787 -1.565 -0.111 Pd
0.000 0.000 0.000 Ir
-3.044 0.059 -2.774 Pt
```

Computed properties:
Its space-group type is Pm-3m. The calculation puts the energy above the most stable polymorph in this dataset at 0 kJ/mol of formula units. The calculation puts the density of states at the Fermi level at 1.78 states/eV/atom. Its formation energy is 7.05 eV/f.u. The total magnetization comes out at 0.00 Bohr magnetons per cell. The calculation puts the volume at 108 Å³ per cell.


No. 3
A relaxed structure of TiNbV2. Source: the Alexandria database, functional PBE.

Cell and atoms, written as POSCAR:
```
TiNbV2
1.0
-1.411 0.879 4.138
-2.588 -2.932 2.143
1.630 -2.308 3.449
Nb V Ti
1 2 1
Cartesian
0.000 0.000 0.000 Nb
-1.776 -3.271 7.298 V
-0.592 -1.090 2.433 V
-1.184 -2.181 4.865 Ti
```

Computed properties:
Its space-group type is Fm-3m. The calculation puts the energy above the most stable polymorph in this dataset at 0 kJ/mol of formula units. The calculation puts the density of states at the Fermi level at 1.86 states/eV/atom. Its formation energy is 0.27 eV/f.u. The total magnetization comes out at 2.16 Bohr magnetons per cell. The calculation puts the volume at 63 Å³ per cell.


No. 4
A relaxed structure of BaSr2Ca. Source: the Alexandria database, functional PBE.

Cell and atoms, written as POSCAR:
```
BaSr2Ca
1.0
7.910 0.031 0.039
3.622 7.032 -0.039
-5.014 -4.759 3.845
Sr Ba Ca
2 1 1
Cartesian
0.121 0.074 0.000 Sr
5.645 3.458 0.000 Sr
4.331 -0.598 1.942 Ba
2.187 2.902 1.903 Ca
```

Computed properties:
Its space-group type is Immm. The calculation puts the energy above the most stable polymorph in this dataset at 2 kJ/mol of formula units. The calculation puts the density of states at the Fermi level at 1.34 states/eV/atom. Its formation energy is 0.09 eV/f.u. The total magnetization comes out at 0.00 Bohr magnetons per cell. The calculation puts the volume at 213 Å³ per cell.